The following is a PBE calculation of an optimized crystal structure of CaCo2Ir, from the Alexandria database.

## Properties
- ΔH_f (0 K): 0.240 eV per atom
- Magnetization: 2.93 μB per formula unit
- N(E_F): 5.112 states/eV/cell
- Theoretical density: 9.180 g/cm³
- Space-group type: Pmmm (47)

Unit cell a=2.7482 b=3.6997 c=6.2293 alpha=90.00 beta=90.00 gamma=90.00
Last column: nearest neighbours and their distance in Å.
Fractional coordinates of all 4 atoms:
Ca 0.0000 0.0000 0.0000  2 Ca 2.75, 8 Co 3.02
Co 0.5000 0.5000 0.3134  1 Co 2.32, 4 Ir 2.58
Co 0.5000 0.5000 0.6866  1 Co 2.32, 4 Ir 2.58
Ir 0.0000 0.0000 0.5000  8 Co 2.58, 2 Ir 2.75